This record from Alexandria via LeMat-Bulk describes crystalline InCoIO2 at its relaxed geometry. The functional is PBE+U.

Summary:
E in eV/atom: -3.83
Space-group type: P4/mmm, No. 123
V in Å³/cell: 104.61
Density in g/cm3: 5.280

Cell lengths 4.154, 4.154, 6.062 Å; angles 90.00, 90.00, 90.00 degrees
Site moments in Bohr magnetons follow the coordinates.
Element x y z (fractional)
1 O 0.500 0.000 0.000  0.54
2 O 0.000 0.500 0.000  0.54
3 I 0.000 0.000 0.500  0.05
4 Co 0.000 0.000 0.000  2.70
5 In 0.500 0.500 0.500  0.02